Nd2P3Au PBE relaxed; spin magnetization = 0.0002 μB/atom; VASP energy = -5.86 eV/atom; symmetry = P2_1/c (14)
1.0
-1.6032 3.6737 -1.1917
-6.6429 -1.7370 3.5820
7.1453 3.2136 14.8096
P Nd Au
12 8 4
Direct
0.6593 0.6184 0.4130 P
0.9670 0.7974 0.7029 P
0.1654 0.4654 0.9064 P
0.0330 0.2974 0.7971 P
0.0330 0.2026 0.2971 P
0.8346 0.9654 0.5936 P
0.8346 0.5346 0.0936 P
0.3407 0.3816 0.5870 P
0.9670 0.7026 0.2029 P
0.6593 0.8816 0.9130 P
0.3407 0.1184 0.0870 P
0.1654 0.0346 0.4064 P
0.4484 0.4008 0.2027 Nd
0.7327 0.2321 0.9754 Nd
0.7327 0.2679 0.4754 Nd
0.5516 0.5992 0.7973 Nd
0.2673 0.7679 0.0246 Nd
0.4484 0.0992 0.7027 Nd
0.5516 0.9008 0.2973 Nd
0.2673 0.7321 0.5246 Nd
0.9020 0.0086 0.1499 Au
0.0980 0.5086 0.3501 Au
0.9020 0.4914 0.6499 Au
0.0980 0.9914 0.8501 Au